# CoReSbPt (PBE, relaxed)
data_CoReSbPt
_space_group_name_H-M_alt 'F -4 3 m'
_space_group_IT_number 216
_space_group_name_Hall 'F -4 2 3'
_cell_length_a 6.3030
_cell_length_b 6.3030
_cell_length_c 6.3030
_cell_angle_alpha 90.00
_cell_angle_beta 90.00
_cell_angle_gamma 90.00
loop_
_atom_site_label
_atom_site_type_symbol
_atom_site_fract_x
_atom_site_fract_y
_atom_site_fract_z
Co1 Co 0.0000 0.0000 0.0000
Re1 Re 0.0000 0.0000 0.5000
Sb1 Sb 0.2500 0.2500 0.7500
Pt1 Pt 0.2500 0.2500 0.2500
# * energy above the lowest structure with this stoichiometry: 0.00 eV per formula unit

***

# CoReSiPt (PBE, relaxed)
data_CoReSiPt
_space_group_name_H-M_alt 'F -4 3 m'
_space_group_IT_number 216
_space_group_name_Hall 'F -4 2 3'
_cell_length_a 6.0051
_cell_length_b 6.0051
_cell_length_c 6.0051
_cell_angle_alpha 90.00
_cell_angle_beta 90.00
_cell_angle_gamma 90.00
loop_
_atom_site_label
_atom_site_type_symbol
_atom_site_fract_x
_atom_site_fract_y
_atom_site_fract_z
Co1 Co 0.0000 0.0000 0.0000
Re1 Re 0.0000 0.0000 0.5000
Si1 Si 0.2500 0.2500 0.7500
Pt1 Pt 0.2500 0.2500 0.2500
# * energy above the lowest structure with this stoichiometry: 0.00 eV per formula unit

***

# TlCoRePt (PBE, relaxed)
data_TlCoRePt
_space_group_name_H-M_alt 'F -4 3 m'
_space_group_IT_number 216
_space_group_name_Hall 'F -4 2 3'
_cell_length_a 6.3230
_cell_length_b 6.3230
_cell_length_c 6.3230
_cell_angle_alpha 90.00
_cell_angle_beta 90.00
_cell_angle_gamma 90.00
loop_
_atom_site_label
_atom_site_type_symbol
_atom_site_fract_x
_atom_site_fract_y
_atom_site_fract_z
Tl1 Tl 0.0000 0.0000 0.0000
Co1 Co 0.2500 0.2500 0.2500
Re1 Re 0.2500 0.2500 0.7500
Pt1 Pt 0.0000 0.0000 0.5000
# * energy above the lowest structure with this stoichiometry: 0.00 eV per formula unit

***

# ScCoSbPt (PBE, relaxed)
data_ScCoSbPt
_space_group_name_H-M_alt 'F -4 3 m'
_space_group_IT_number 216
_space_group_name_Hall 'F -4 2 3'
_cell_length_a 6.4651
_cell_length_b 6.4651
_cell_length_c 6.4651
_cell_angle_alpha 90.00
_cell_angle_beta 90.00
_cell_angle_gamma 90.00
loop_
_atom_site_label
_atom_site_type_symbol
_atom_site_fract_x
_atom_site_fract_y
_atom_site_fract_z
Sc1 Sc 0.0000 0.0000 0.0000
Co1 Co 0.2500 0.2500 0.7500
Sb1 Sb 0.0000 0.0000 0.5000
Pt1 Pt 0.2500 0.2500 0.2500
# * energy above the lowest structure with this stoichiometry: 0.00 eV per formula unit

***

# ScCoSbPt (PBE, relaxed)
data_ScCoSbPt
_space_group_name_H-M_alt 'F -4 3 m'
_space_group_IT_number 216
_space_group_name_Hall 'F -4 2 3'
_cell_length_a 6.4796
_cell_length_b 6.4796
_cell_length_c 6.4796
_cell_angle_alpha 90.00
_cell_angle_beta 90.00
_cell_angle_gamma 90.00
loop_
_atom_site_label
_atom_site_type_symbol
_atom_site_fract_x
_atom_site_fract_y
_atom_site_fract_z
Sc1 Sc 0.0000 0.0000 0.0000
Co1 Co 0.0000 0.0000 0.5000
Sb1 Sb 0.2500 0.2500 0.2500
Pt1 Pt 0.2500 0.2500 0.7500
# * energy above the lowest structure with this stoichiometry: 0.65 eV per formula unit

***

# TaCoSbPt (PBE, relaxed)
data_TaCoSbPt
_space_group_name_H-M_alt 'F -4 3 m'
_space_group_IT_number 216
_space_group_name_Hall 'F -4 2 3'
_cell_length_a 6.4277
_cell_length_b 6.4277
_cell_length_c 6.4277
_cell_angle_alpha 90.00
_cell_angle_beta 90.00
_cell_angle_gamma 90.00
loop_
_atom_site_label
_atom_site_type_symbol
_atom_site_fract_x
_atom_site_fract_y
_atom_site_fract_z
Ta1 Ta 0.0000 0.0000 0.0000
Co1 Co 0.2500 0.2500 0.7500
Sb1 Sb 0.0000 0.0000 0.5000
Pt1 Pt 0.2500 0.2500 0.2500
# * energy above the lowest structure with this stoichiometry: 0.20 eV per formula unit

***

# TaCoSbPt (PBE, relaxed)
data_TaCoSbPt
_space_group_name_H-M_alt 'F -4 3 m'
_space_group_IT_number 216
_space_group_name_Hall 'F -4 2 3'
_cell_length_a 6.4104
_cell_length_b 6.4104
_cell_length_c 6.4104
_cell_angle_alpha 90.00
_cell_angle_beta 90.00
_cell_angle_gamma 90.00
loop_
_atom_site_label
_atom_site_type_symbol
_atom_site_fract_x
_atom_site_fract_y
_atom_site_fract_z
Ta1 Ta 0.0000 0.0000 0.0000
Co1 Co 0.0000 0.0000 0.5000
Sb1 Sb 0.2500 0.2500 0.2500
Pt1 Pt 0.2500 0.2500 0.7500
# * energy above the lowest structure with this stoichiometry: 0.00 eV per formula unit

***

# CoTcSbPt (PBE, relaxed)
data_CoTcSbPt
_space_group_name_H-M_alt 'F -4 3 m'
_space_group_IT_number 216
_space_group_name_Hall 'F -4 2 3'
_cell_length_a 6.2860
_cell_length_b 6.2860
_cell_length_c 6.2860
_cell_angle_alpha 90.00
_cell_angle_beta 90.00
_cell_angle_gamma 90.00
loop_
_atom_site_label
_atom_site_type_symbol
_atom_site_fract_x
_atom_site_fract_y
_atom_site_fract_z
Co1 Co 0.0000 0.0000 0.0000
Tc1 Tc 0.0000 0.0000 0.5000
Sb1 Sb 0.2500 0.2500 0.7500
Pt1 Pt 0.2500 0.2500 0.2500
# * energy above the lowest structure with this stoichiometry: 0.00 eV per formula unit

***

# YCoSbPt (PBE, relaxed)
data_YCoSbPt
_space_group_name_H-M_alt 'F -4 3 m'
_space_group_IT_number 216
_space_group_name_Hall 'F -4 2 3'
_cell_length_a 6.7691
_cell_length_b 6.7691
_cell_length_c 6.7691
_cell_angle_alpha 90.00
_cell_angle_beta 90.00
_cell_angle_gamma 90.00
loop_
_atom_site_label
_atom_site_type_symbol
_atom_site_fract_x
_atom_site_fract_y
_atom_site_fract_z
Y1 Y 0.0000 0.0000 0.0000
Co1 Co 0.0000 0.0000 0.5000
Sb1 Sb 0.2500 0.2500 0.2500
Pt1 Pt 0.2500 0.2500 0.7500
# * energy above the lowest structure with this stoichiometry: 0.71 eV per formula unit

***

# YCoSbPt (PBE, relaxed)
data_YCoSbPt
_space_group_name_H-M_alt 'F -4 3 m'
_space_group_IT_number 216
_space_group_name_Hall 'F -4 2 3'
_cell_length_a 6.6809
_cell_length_b 6.6809
_cell_length_c 6.6809
_cell_angle_alpha 90.00
_cell_angle_beta 90.00
_cell_angle_gamma 90.00
loop_
_atom_site_label
_atom_site_type_symbol
_atom_site_fract_x
_atom_site_fract_y
_atom_site_fract_z
Y1 Y 0.0000 0.0000 0.0000
Co1 Co 0.2500 0.2500 0.7500
Sb1 Sb 0.0000 0.0000 0.5000
Pt1 Pt 0.2500 0.2500 0.2500
# * energy above the lowest structure with this stoichiometry: 0.00 eV per formula unit

***

# ZnCoSbPt (PBE, relaxed)
data_ZnCoSbPt
_space_group_name_H-M_alt 'F -4 3 m'
_space_group_IT_number 216
_space_group_name_Hall 'F -4 2 3'
_cell_length_a 6.3024
_cell_length_b 6.3024
_cell_length_c 6.3024
_cell_angle_alpha 90.00
_cell_angle_beta 90.00
_cell_angle_gamma 90.00
loop_
_atom_site_label
_atom_site_type_symbol
_atom_site_fract_x
_atom_site_fract_y
_atom_site_fract_z
Zn1 Zn 0.0000 0.0000 0.0000
Co1 Co 0.2500 0.2500 0.7500
Sb1 Sb 0.0000 0.0000 0.5000
Pt1 Pt 0.2500 0.2500 0.2500
# * energy above the lowest structure with this stoichiometry: 0.00 eV per formula unit

***

# ScCoPt2 (PBE, relaxed)
data_ScCoPt2
_space_group_name_H-M_alt 'F -4 3 m'
_space_group_IT_number 216
_space_group_name_Hall 'F -4 2 3'
_cell_length_a 6.3086
_cell_length_b 6.3086
_cell_length_c 6.3086
_cell_angle_alpha 90.00
_cell_angle_beta 90.00
_cell_angle_gamma 90.00
loop_
_atom_site_label
_atom_site_type_symbol
_atom_site_fract_x
_atom_site_fract_y
_atom_site_fract_z
Sc1 Sc 0.0000 0.0000 0.0000
Co1 Co 0.2500 0.2500 0.2500
Pt1 Pt 0.0000 0.0000 0.5000
Pt2 Pt 0.2500 0.2500 0.7500
# * formation enthalpy at 0 K: -0.483 eV/atom

***

# Sc5CoPt4 (PBE, relaxed)
data_Sc5CoPt4
_space_group_name_H-M_alt 'P 4/m m m'
_space_group_IT_number 123
_space_group_name_Hall '-P 4 2'
_cell_length_a 3.2644
_cell_length_b 3.2644
_cell_length_c 16.3733
_cell_angle_alpha 90.00
_cell_angle_beta 90.00
_cell_angle_gamma 90.00
loop_
_atom_site_label
_atom_site_type_symbol
_atom_site_fract_x
_atom_site_fract_y
_atom_site_fract_z
Sc1 Sc 0.0000 0.0000 0.0000
Sc2 Sc 0.0000 0.0000 0.2046
Sc3 Sc 0.0000 0.0000 0.4076
Co1 Co 0.5000 0.5000 0.5000
Pt1 Pt 0.5000 0.5000 0.1032
Pt2 Pt 0.5000 0.5000 0.3063
# * formation enthalpy at 0 K: -1.057 eV/atom

***

# ScTlCoPt (PBE, relaxed)
data_ScTlCoPt
_space_group_name_H-M_alt 'F -4 3 m'
_space_group_IT_number 216
_space_group_name_Hall 'F -4 2 3'
_cell_length_a 6.5019
_cell_length_b 6.5019
_cell_length_c 6.5019
_cell_angle_alpha 90.00
_cell_angle_beta 90.00
_cell_angle_gamma 90.00
loop_
_atom_site_label
_atom_site_type_symbol
_atom_site_fract_x
_atom_site_fract_y
_atom_site_fract_z
Sc1 Sc 0.0000 0.0000 0.0000
Tl1 Tl 0.0000 0.0000 0.5000
Co1 Co 0.2500 0.2500 0.7500
Pt1 Pt 0.2500 0.2500 0.2500
# * energy above the lowest structure with this stoichiometry: 0.00 eV per formula unit

***

# ScTlCoPt (PBE, relaxed)
data_ScTlCoPt
_space_group_name_H-M_alt 'F -4 3 m'
_space_group_IT_number 216
_space_group_name_Hall 'F -4 2 3'
_cell_length_a 6.5033
_cell_length_b 6.5033
_cell_length_c 6.5033
_cell_angle_alpha 90.00
_cell_angle_beta 90.00
_cell_angle_gamma 90.00
loop_
_atom_site_label
_atom_site_type_symbol
_atom_site_fract_x
_atom_site_fract_y
_atom_site_fract_z
Sc1 Sc 0.0000 0.0000 0.0000
Tl1 Tl 0.2500 0.2500 0.2500
Co1 Co 0.0000 0.0000 0.5000
Pt1 Pt 0.2500 0.2500 0.7500
# * energy above the lowest structure with this stoichiometry: 0.68 eV per formula unit

***

Number 1: E -113.732 eV for the cell shown. Number 2: E -123.404 eV for the cell shown. Number 3: E -100.767 eV for the cell shown. Number 4: E -102.438 eV for the cell shown. Number 5: E -99.856 eV for the cell shown. Number 6: E -115.593 eV for the cell shown. Number 7: E -116.378 eV for the cell shown. Number 8: E -108.544 eV for the cell shown. Number 9: E -99.286 eV for the cell shown. Number 10: E -102.136 eV for the cell shown. Number 11: E -75.055 eV for the cell shown. Number 12: E -109.914 eV for the cell shown. Number 13: E -73.544 eV for the cell shown. Number 14: E -92.825 eV for the cell shown. Number 15: E -90.095 eV for the cell shown.